TlInSn2F8 | PBE | optimized geometry

Results
Space-group type ... P-1, No. 2
Uncorrected formation energy ... -2.286 eV per atom

Geometry as POSCAR:
```
TlInSn2F8
1.0
-2.489 4.386 -1.845
-3.114 0.112 4.249
6.003 4.002 3.716
Tl In Sn F
1 1 2 8
Direct
0.000 0.000 0.500
0.000 0.000 0.000
0.483 0.485 0.756
0.517 0.515 0.244
0.160 0.772 0.191
0.711 0.721 0.945
0.791 0.170 0.185
0.840 0.228 0.809
0.289 0.279 0.055
0.209 0.830 0.815
0.644 0.694 0.583
0.356 0.306 0.417
```

NaNi3N | PBE | optimized geometry

Results
Space-group type ... Pm-3m, No. 221
Uncorrected formation energy ... 2.685 eV per atom

Geometry as POSCAR:
```
NaNi3N
1.0
4.336 0.000 0.000
0.000 4.336 0.000
0.000 0.000 4.336
Ni N Na
3 1 1
Direct
0.000 0.500 0.000
0.000 0.000 0.500
0.500 0.000 0.000
0.500 0.500 0.500
0.000 0.000 0.000
```

ZrTl3S4 | PBE | optimized geometry

Results
Space-group type ... Cmmm, No. 65
Uncorrected formation energy ... -0.736 eV per atom

Geometry as POSCAR:
```
ZrTl3S4
1.0
3.893 0.000 0.000
0.000 7.444 0.030
0.000 -2.318 7.074
Zr Tl S
1 3 4
Direct
0.500 0.000 0.000
0.000 0.000 0.500
0.500 0.500 0.500
0.000 0.500 0.000
0.000 0.202 0.202
0.500 0.784 0.216
0.000 0.798 0.798
0.500 0.216 0.784
```

Ir2NF | PBE | optimized geometry

Results
Space-group type ... I-42d, No. 122
Uncorrected formation energy ... 0.469 eV per atom

Geometry as POSCAR:
```
Ir2NF
1.0
-3.094 1.498 3.797
3.654 -1.108 3.414
1.866 4.354 3.258
N Ir F
2 4 2
Direct
0.500 0.500 0.000
0.250 0.750 0.500
0.544 0.125 0.250
0.206 0.625 0.250
0.375 0.456 0.750
0.875 0.794 0.750
0.000 0.000 0.000
0.750 0.250 0.500
```

LiOs3Rh | PBE | optimized geometry

Results
Space-group type ... Pm-3m, No. 221
Formation enthalpy at 0 K ... 1.24 eV per atom

Geometry as POSCAR:
```
LiOs3Rh
1.0
-1.011 3.715 -1.321
-2.489 -1.659 -2.761
-3.058 0.121 2.684
Rh Os Li
1 3 1
Direct
0.500 0.500 0.500
0.000 0.500 0.000
0.000 0.000 0.500
0.500 0.000 0.000
0.000 0.000 0.000
```

ScRh4Pb | PBE | optimized geometry

Results
Space-group type ... C2, No. 5
Formation enthalpy at 0 K ... 0.09 eV per atom

Geometry as POSCAR:
```
ScRh4Pb
1.0
4.263 0.000 0.000
0.000 4.263 -0.001
0.004 0.006 6.318
Sc Rh Pb
1 4 1
Direct
0.501 0.498 0.998
0.502 0.997 0.231
0.501 0.998 0.765
0.001 0.497 0.765
0.001 0.497 0.231
0.002 0.997 0.498
```

TmGe3Ir | PBE | optimized geometry

Results
Space-group type ... Pmn2_1, No. 31
Formation enthalpy at 0 K ... -0.52 eV per atom

Geometry as POSCAR:
```
TmGe3Ir
1.0
-5.750 0.269 0.929
0.031 -5.274 1.715
0.999 1.842 5.645
Tm Ge Ir
2 6 2
Direct
0.424 0.326 0.701
0.924 0.027 0.201
0.348 0.276 0.201
0.472 0.862 0.963
0.972 0.491 0.463
0.848 0.077 0.701
0.972 0.491 0.938
0.472 0.862 0.438
0.161 0.797 0.701
0.661 0.555 0.201
```

Na2CdH6Pt | PBE | optimized geometry

Results
Space-group type ... P-3m1, No. 164
VASP energy ... -3.189 eV per atom

Geometry as POSCAR:
```
Na2CdH6Pt
1.0
-5.816 5.717 0.984
-1.740 -0.984 -4.568
-1.781 -2.489 3.935
Na Cd H Pt
2 1 6 1
Direct
0.121 0.333 0.667
0.879 0.667 0.333
0.500 0.000 0.000
0.881 0.154 0.308
0.881 0.154 0.846
0.881 0.692 0.846
0.119 0.846 0.154
0.119 0.308 0.154
0.119 0.846 0.692
0.000 0.000 0.000
```

What did we get for DOS at the Fermi energy? Answer: 0.00; 1.59; 0.31; 0.23; 0.80; 0.93; 0.34; 0.00 states/eV per atom, in the order shown.